(1)
A plane-wave DFT calculation with PBE was carried out for a relaxed structure of Tb5Sm2Ho2.

Cell lengths 11.799, 6.726, 10.071 Å; angles 109.51, 125.86, 90.00 degrees
Sites, in units of the cell vectors:
Tb1 0.199 0.655 0.897
Tb2 0.801 0.758 0.103
Tb3 0.198 0.155 0.897
Tb4 0.802 0.258 0.103
Tb5 0.378 0.034 0.286
Tb6 0.622 0.748 0.714
Tb7 0.408 0.534 0.286
Tb8 0.592 0.248 0.714
Tb9 0.006 0.651 0.500
Tb10 0.994 0.151 0.500
Sm1 0.000 0.021 0.000
Sm2 0.500 0.521 0.000
Sm3 0.258 0.354 0.500
Sm4 0.742 0.854 0.500
Ho1 0.127 0.684 0.254
Ho2 0.873 0.431 0.746
Ho3 0.627 0.184 0.254
Ho4 0.373 0.931 0.746

- Energy relative to the lowest polymorph listed for this composition: 0 meV per atom
- Energy relative to the elements: 1.97 eV per formula unit
- Theoretical density: 8.02 Mg/m³
- VASP energy: -4.42 eV/atom

(2)
A plane-wave DFT calculation with PBE was carried out for a relaxed structure of Tb8Sm3Ho3.

Cell lengths 5.644, 9.657, 9.657 Å; angles 101.72, 73.01, 73.01 degrees
Sites, in units of the cell vectors:
Tb1 0.659 0.119 0.562
Tb2 0.341 0.881 0.438
Tb3 0.659 0.562 0.119
Tb4 0.341 0.438 0.881
Tb5 0.841 0.762 0.556
Tb6 0.159 0.238 0.444
Tb7 0.841 0.556 0.762
Tb8 0.159 0.444 0.238
Sm1 0.500 0.000 0.000
Sm2 0.000 0.819 0.181
Sm3 0.000 0.181 0.819
Ho1 0.500 0.500 0.500
Ho2 0.797 0.203 0.203
Ho3 0.203 0.797 0.797

- Energy relative to the elements: 1.50 eV per formula unit
- Theoretical density: 8.06 Mg/m³
- VASP energy: -4.53 eV/atom

(3)
A plane-wave DFT calculation with PBE was carried out for a relaxed structure of TbSm5Ho.

Cell lengths 6.208, 8.013, 7.768 Å; angles 121.05, 113.55, 90.00 degrees
Sites, in units of the cell vectors:
Tb1 0.931 0.000 0.000
Sm1 0.188 0.253 0.505
Sm2 0.168 0.500 0.000
Sm3 0.682 0.747 0.495
Sm4 0.432 0.821 0.000
Sm5 0.432 0.179 0.000
Ho1 0.696 0.500 0.000

- Energy relative to the lowest polymorph listed for this composition: 716 meV per atom
- Energy relative to the elements: 6.30 eV per formula unit
- Theoretical density: 6.10 Mg/m³
- VASP energy: -3.79 eV/atom

(4)
A plane-wave DFT calculation with PBE was carried out for a relaxed structure of Tb3SmHo5.

Cell lengths 6.668, 8.793, 11.309 Å; angles 107.10, 90.00, 112.28 degrees
Sites, in units of the cell vectors:
Tb1 0.000 0.000 0.000
Tb2 0.296 0.352 0.374
Tb3 0.000 0.000 0.500
Tb4 0.704 0.648 0.626
Tb5 0.056 0.352 0.874
Tb6 0.944 0.648 0.126
Sm1 0.229 0.000 0.750
Sm2 0.771 0.000 0.250
Ho1 0.682 0.000 0.750
Ho2 0.613 0.474 0.855
Ho3 0.603 0.216 0.045
Ho4 0.387 0.526 0.145
Ho5 0.387 0.784 0.455
Ho6 0.318 0.000 0.250
Ho7 0.861 0.474 0.355
Ho8 0.139 0.526 0.645
Ho9 0.613 0.216 0.545
Ho10 0.397 0.784 0.955

- Energy relative to the lowest polymorph listed for this composition: 0 meV per atom
- Energy relative to the elements: 1.60 eV per formula unit
- Theoretical density: 8.29 Mg/m³
- VASP energy: -4.43 eV/atom

(5)
A plane-wave DFT calculation with PBE was carried out for a relaxed structure of TbSm4Ho4.

Cell lengths 5.045, 7.995, 7.995 Å; angles 84.29, 71.61, 71.61 degrees
Sites, in units of the cell vectors:
Tb1 0.000 0.000 0.000
Sm1 0.668 0.332 0.332
Sm2 0.332 0.668 0.668
Sm3 0.000 0.668 0.332
Sm4 0.000 0.332 0.668
Ho1 0.666 0.668 0.000
Ho2 0.334 0.332 0.000
Ho3 0.666 0.000 0.668
Ho4 0.334 0.000 0.332

- Energy relative to the lowest polymorph listed for this composition: 0 meV per atom
- Energy relative to the elements: 0.17 eV per formula unit
- Theoretical density: 8.12 Mg/m³
- VASP energy: -4.63 eV/atom

(6)
A plane-wave DFT calculation with PBE was carried out for a relaxed structure of Tb4Sm3Ho4.

Cell lengths 3.533, 11.240, 10.908 Å; angles 121.01, 99.32, 90.00 degrees
Sites, in units of the cell vectors:
Tb1 0.782 0.282 0.564
Tb2 0.218 0.718 0.436
Tb3 0.500 0.790 0.000
Tb4 0.500 0.210 0.000
Sm1 0.892 0.892 0.783
Sm2 0.108 0.108 0.217
Sm3 0.000 0.500 0.000
Ho1 0.672 0.428 0.343
Ho2 0.328 0.085 0.657
Ho3 0.328 0.572 0.657
Ho4 0.672 0.915 0.343

- Energy relative to the lowest polymorph listed for this composition: 17 meV per atom
- Energy relative to the elements: 1.90 eV per formula unit
- Theoretical density: 7.95 Mg/m³
- VASP energy: -4.46 eV/atom

(7)
A plane-wave DFT calculation with PBE was carried out for a relaxed structure of Tb2Sm5Ho2.

Cell lengths 12.834, 6.182, 10.376 Å; angles 107.33, 128.20, 90.00 degrees
Sites, in units of the cell vectors:
Tb1 0.000 0.078 0.000
Tb2 0.500 0.578 0.000
Tb3 0.195 0.201 0.500
Tb4 0.805 0.701 0.500
Sm1 0.153 0.622 0.904
Sm2 0.847 0.718 0.096
Sm3 0.251 0.122 0.904
Sm4 0.749 0.218 0.096
Sm5 0.330 0.151 0.287
Sm6 0.670 0.864 0.713
Sm7 0.457 0.651 0.287
Sm8 0.543 0.364 0.713
Sm9 0.071 0.673 0.500
Sm10 0.929 0.173 0.500
Ho1 0.184 0.650 0.270
Ho2 0.816 0.379 0.730
Ho3 0.586 0.150 0.270
Ho4 0.414 0.879 0.730

- Energy relative to the lowest polymorph listed for this composition: 35 meV per atom
- Energy relative to the elements: 1.57 eV per formula unit
- Theoretical density: 7.76 Mg/m³
- VASP energy: -4.49 eV/atom

(8)
A plane-wave DFT calculation with PBE was carried out for a relaxed structure of Tb2Sm4Ho3.

Cell lengths 3.604, 3.604, 26.450 Å; angles 90.00, 90.00, 120.00 degrees
Sites, in units of the cell vectors:
Tb1 0.667 0.333 0.085
Tb2 0.667 0.333 0.873
Sm1 0.000 0.000 0.546
Sm2 0.667 0.333 0.433
Sm3 0.667 0.333 0.218
Sm4 0.000 0.000 0.763
Ho1 0.000 0.000 0.981
Ho2 0.000 0.000 0.324
Ho3 0.667 0.333 0.654

- Energy relative to the lowest polymorph listed for this composition: 4 meV per atom
- Energy relative to the elements: 0.48 eV per formula unit
- Theoretical density: 7.89 Mg/m³
- VASP energy: -4.60 eV/atom

(9)
A plane-wave DFT calculation with PBE was carried out for a relaxed structure of Tb4Sm8Ho3.

Cell lengths 6.861, 9.153, 9.153 Å; angles 82.96, 110.75, 110.75 degrees
Sites, in units of the cell vectors:
Tb1 0.500 0.000 0.000
Tb2 0.000 0.500 0.000
Tb3 0.000 0.000 0.000
Tb4 0.000 0.000 0.500
Sm1 0.286 0.246 0.246
Sm2 0.000 0.703 0.297
Sm3 0.825 0.298 0.298
Sm4 0.500 0.752 0.248
Sm5 0.500 0.248 0.752
Sm6 0.175 0.702 0.702
Sm7 0.000 0.297 0.703
Sm8 0.714 0.754 0.754
Ho1 0.500 0.500 0.000
Ho2 0.500 0.000 0.500
Ho3 0.500 0.500 0.500

- Energy relative to the elements: 5.24 eV per formula unit
- Theoretical density: 7.71 Mg/m³
- VASP energy: -4.32 eV/atom

(10)
A plane-wave DFT calculation with PBE was carried out for a relaxed structure of Tb6Sm8Ho.

Cell lengths 6.546, 9.415, 9.415 Å; angles 120.00, 90.00, 90.00 degrees
Sites, in units of the cell vectors:
Tb1 0.661 0.654 0.090
Tb2 0.661 0.910 0.563
Tb3 0.661 0.437 0.346
Tb4 0.339 0.346 0.910
Tb5 0.339 0.090 0.437
Tb6 0.339 0.563 0.654
Sm1 0.834 0.033 0.283
Sm2 0.834 0.717 0.750
Sm3 0.834 0.250 0.967
Sm4 0.166 0.967 0.717
Sm5 0.166 0.283 0.250
Sm6 0.166 0.750 0.033
Sm7 0.880 0.333 0.667
Sm8 0.120 0.667 0.333
Ho1 0.500 0.000 0.000

- Energy relative to the lowest polymorph listed for this composition: 54 meV per atom
- Energy relative to the elements: 2.64 eV per formula unit
- Theoretical density: 7.67 Mg/m³
- VASP energy: -4.50 eV/atom

(11)
A plane-wave DFT calculation with PBE was carried out for a relaxed structure of Tb2Sm2Ho5.

Cell lengths 3.489, 8.199, 12.498 Å; angles 120.81, 98.02, 90.00 degrees
Sites, in units of the cell vectors:
Tb1 0.547 0.739 0.094
Tb2 0.453 0.261 0.906
Sm1 0.817 0.782 0.635
Sm2 0.183 0.218 0.365
Ho1 0.690 0.853 0.381
Ho2 0.310 0.147 0.619
Ho3 0.902 0.541 0.804
Ho4 0.098 0.459 0.196
Ho5 0.000 0.000 0.000

- Energy relative to the lowest polymorph listed for this composition: 28 meV per atom
- Energy relative to the elements: 2.21 eV per formula unit
- Theoretical density: 7.91 Mg/m³
- VASP energy: -4.38 eV/atom

(12)
A plane-wave DFT calculation with PBE was carried out for a relaxed structure of Tb4Sm8Ho.

Cell lengths 7.298, 7.298, 10.348 Å; angles 90.00, 110.65, 120.00 degrees
Sites, in units of the cell vectors:
Tb1 0.000 0.000 0.000
Tb2 0.000 0.500 0.000
Tb3 0.500 0.500 0.000
Tb4 0.500 0.000 0.000
Sm1 0.573 0.787 0.360
Sm2 0.427 0.213 0.640
Sm3 0.498 0.249 0.296
Sm4 0.953 0.202 0.704
Sm5 0.502 0.751 0.704
Sm6 0.953 0.751 0.704
Sm7 0.047 0.249 0.296
Sm8 0.047 0.798 0.296
Ho1 0.000 0.500 0.500

- Energy relative to the elements: 2.56 eV per formula unit
- Theoretical density: 7.63 Mg/m³
- VASP energy: -4.48 eV/atom

(13)
A plane-wave DFT calculation with PBE was carried out for a relaxed structure of Tb3SmHo6.

Cell lengths 6.571, 9.508, 6.590 Å; angles 110.42, 119.90, 90.00 degrees
Sites, in units of the cell vectors:
Tb1 0.933 0.304 0.865
Tb2 0.067 0.696 0.135
Tb3 0.000 0.000 0.000
Sm1 0.500 0.500 0.000
Ho1 0.438 0.307 0.372
Ho2 0.066 0.693 0.628
Ho3 0.562 0.693 0.628
Ho4 0.934 0.307 0.372
Ho5 0.360 0.076 0.720
Ho6 0.640 0.924 0.280

- Energy relative to the lowest polymorph listed for this composition: 78 meV per atom
- Energy relative to the elements: 2.26 eV per formula unit
- Theoretical density: 8.22 Mg/m³
- VASP energy: -4.38 eV/atom

(14)
A plane-wave DFT calculation with PBE was carried out for a relaxed structure of TbSm12Ho6.

Cell lengths 8.605, 8.605, 8.605 Å; angles 88.84, 88.84, 88.84 degrees
Sites, in units of the cell vectors:
Tb1 0.000 0.000 0.000
Sm1 0.779 0.538 0.433
Sm2 0.433 0.779 0.538
Sm3 0.538 0.433 0.779
Sm4 0.221 0.462 0.567
Sm5 0.567 0.221 0.462
Sm6 0.462 0.567 0.221
Sm7 0.016 0.198 0.361
Sm8 0.802 0.639 0.984
Sm9 0.639 0.984 0.802
Sm10 0.984 0.802 0.639
Sm11 0.198 0.361 0.016
Sm12 0.361 0.016 0.198
Ho1 0.741 0.903 0.301
Ho2 0.699 0.259 0.097
Ho3 0.097 0.699 0.259
Ho4 0.259 0.097 0.699
Ho5 0.301 0.741 0.903
Ho6 0.903 0.301 0.741

- Energy relative to the lowest polymorph listed for this composition: 0 meV per atom
- Energy relative to the elements: 2.70 eV per formula unit
- Theoretical density: 7.70 Mg/m³
- VASP energy: -4.53 eV/atom

(15)
A plane-wave DFT calculation with PBE was carried out for a relaxed structure of Tb3Sm2Ho2.

Cell lengths 3.570, 10.714, 6.167 Å; angles 95.52, 73.30, 89.96 degrees
Sites, in units of the cell vectors:
Tb1 0.000 0.000 0.000
Tb2 0.857 0.571 0.285
Tb3 0.143 0.429 0.715
Sm1 0.715 0.144 0.570
Sm2 0.285 0.856 0.430
Ho1 0.429 0.287 0.142
Ho2 0.571 0.713 0.858

- Energy relative to the lowest polymorph listed for this composition: 0 meV per atom
- Energy relative to the elements: 0.12 eV per formula unit
- Theoretical density: 8.18 Mg/m³
- VASP energy: -4.62 eV/atom

(16)
A plane-wave DFT calculation with PBE was carried out for a relaxed structure of Tb8SmHo6.

Cell lengths 9.016, 9.016, 8.607 Å; angles 58.41, 58.41, 60.00 degrees
Sites, in units of the cell vectors:
Tb1 0.255 0.280 0.576
Tb2 0.720 0.111 0.424
Tb3 0.111 0.745 0.424
Tb4 0.577 0.577 0.270
Tb5 0.423 0.423 0.730
Tb6 0.889 0.255 0.576
Tb7 0.280 0.889 0.576
Tb8 0.745 0.720 0.424
Sm1 0.000 0.000 0.000
Ho1 0.462 0.895 0.880
Ho2 0.105 0.236 0.120
Ho3 0.236 0.538 0.120
Ho4 0.764 0.462 0.880
Ho5 0.895 0.764 0.880
Ho6 0.538 0.105 0.120

- Energy relative to the elements: 1.96 eV per formula unit
- Theoretical density: 8.30 Mg/m³
- VASP energy: -4.48 eV/atom

(17)
A plane-wave DFT calculation with PBE was carried out for a relaxed structure of Tb4Sm4Ho3.

Cell lengths 3.528, 5.646, 18.124 Å; angles 81.05, 84.40, 89.99 degrees
Sites, in units of the cell vectors:
Tb1 0.546 0.546 0.909
Tb2 0.454 0.454 0.091
Tb3 0.319 0.820 0.360
Tb4 0.681 0.180 0.640
Sm1 0.591 0.091 0.820
Sm2 0.268 0.267 0.465
Sm3 0.732 0.733 0.535
Sm4 0.410 0.909 0.180
Ho1 0.136 0.636 0.728
Ho2 0.864 0.364 0.272
Ho3 0.000 0.000 0.000

- Energy relative to the elements: 0.64 eV per formula unit
- Theoretical density: 8.11 Mg/m³
- VASP energy: -4.59 eV/atom

(18)
A plane-wave DFT calculation with PBE was carried out for a relaxed structure of Tb7SmHo4.

Cell lengths 7.165, 6.205, 11.369 Å; angles 79.54, 50.93, 90.01 degrees
Sites, in units of the cell vectors:
Tb1 0.749 0.500 0.000
Tb2 0.251 0.500 0.000
Tb3 0.084 0.279 0.665
Tb4 0.916 0.721 0.335
Tb5 0.334 0.778 0.665
Tb6 0.500 0.000 0.000
Tb7 0.666 0.222 0.335
Sm1 0.000 0.000 0.000
Ho1 0.414 0.721 0.335
Ho2 0.586 0.279 0.665
Ho3 0.834 0.779 0.666
Ho4 0.166 0.221 0.334

- Energy relative to the lowest polymorph listed for this composition: 0 meV per atom
- Energy relative to the elements: -0.03 eV per formula unit
- Theoretical density: 8.37 Mg/m³
- VASP energy: -4.62 eV/atom

(19)
A plane-wave DFT calculation with PBE was carried out for a relaxed structure of Tb15SmHo4.

Cell lengths 5.029, 5.029, 25.158 Å; angles 90.00, 90.00, 90.00 degrees
Sites, in units of the cell vectors:
Tb1 0.500 0.500 0.000
Tb2 0.500 0.500 0.201
Tb3 0.500 0.500 0.400
Tb4 0.500 0.500 0.600
Tb5 0.500 0.500 0.799
Tb6 0.500 0.000 0.101
Tb7 0.500 0.000 0.300
Tb8 0.500 0.000 0.500
Tb9 0.500 0.000 0.700
Tb10 0.500 0.000 0.899
Tb11 0.000 0.500 0.101
Tb12 0.000 0.500 0.300
Tb13 0.000 0.500 0.500
Tb14 0.000 0.500 0.700
Tb15 0.000 0.500 0.899
Sm1 0.000 0.000 0.000
Ho1 0.000 0.000 0.201
Ho2 0.000 0.000 0.400
Ho3 0.000 0.000 0.600
Ho4 0.000 0.000 0.799

- Energy relative to the elements: 0.34 eV per formula unit
- Theoretical density: 8.34 Mg/m³
- VASP energy: -4.61 eV/atom